First-principles (meta-GGA SCAN) data for a crystal of Tl17Au12 relaxed with PBEsol, as listed in Alexandria via LeMat-Bulk.

a = 9.491 Å, b = 9.491 Å, c = 9.491 Å
α = 109.47°, β = 109.47°, γ = 109.47°
Element x y z (fractional)
Au (0.188, 0.374, 0.374)
Au (0.185, 0.812, 0.185)
Au (0.815, 0.626, 0.000)
Au (0.000, 0.815, 0.626)
Au (0.815, 0.000, 0.626)
Au (0.374, 0.374, 0.188)
Au (0.374, 0.188, 0.374)
Au (0.000, 0.626, 0.815)
Au (0.812, 0.185, 0.185)
Au (0.185, 0.185, 0.812)
Au (0.626, 0.000, 0.815)
Au (0.626, 0.815, 0.000)
Tl (0.000, 0.000, 0.000)
Tl (0.279, 0.692, 0.692)
Tl (0.413, 0.413, 0.721)
Tl (0.000, 0.329, 0.000)
Tl (0.000, 0.308, 0.587)
Tl (0.000, 0.587, 0.308)
Tl (0.692, 0.279, 0.692)
Tl (0.721, 0.413, 0.413)
Tl (0.587, 0.308, 0.000)
Tl (0.329, 0.000, 0.000)
Tl (0.413, 0.721, 0.413)
Tl (0.000, 0.000, 0.329)
Tl (0.692, 0.692, 0.279)
Tl (0.308, 0.000, 0.587)
Tl (0.308, 0.587, 0.000)
Tl (0.671, 0.671, 0.671)
Tl (0.587, 0.000, 0.308)

energy of formation from the pure elements	0.04	eV/atom
space group	I-43m
VASP energy	-70.994	eV per atom

First-principles (meta-GGA SCAN) data for a crystal of Tl5Au relaxed with PBEsol, as listed in Alexandria via LeMat-Bulk.

a = 3.510 Å, b = 5.325 Å, c = 8.880 Å
α = 72.55°, β = 90.00°, γ = 90.00°
Element x y z (fractional)
Tl (0.000, 0.186, 0.629)
Tl (0.500, 0.637, 0.726)
Tl (0.000, 0.814, 0.371)
Tl (0.500, 0.363, 0.274)
Tl (0.500, 0.000, 0.000)
Au (0.000, 0.500, 0.000)

E above lowest polymorph	3	meV/atom
energy of formation from the pure elements	0.01	eV/atom
space group	Cmmm
VASP energy	-71.818	eV per atom

First-principles (meta-GGA SCAN) data for a crystal of Tl2Au relaxed with PBEsol, as listed in Alexandria via LeMat-Bulk.

a = 3.371 Å, b = 7.263 Å, c = 6.411 Å
α = 90.00°, β = 90.00°, γ = 90.00°
Element x y z (fractional)
Tl (0.000, 0.646, 0.176)
Tl (0.500, 0.146, 0.324)
Tl (0.000, 0.354, 0.824)
Tl (0.500, 0.854, 0.676)
Au (0.000, 0.000, 0.000)
Au (0.500, 0.500, 0.500)

energy of formation from the pure elements	-0.02	eV/atom
space group	Pnnm
VASP energy	-71.315	eV per atom

First-principles (meta-GGA SCAN) data for a crystal of TlAu4 relaxed with PBEsol, as listed in Alexandria via LeMat-Bulk.

a = 3.875 Å, b = 3.875 Å, c = 7.305 Å
α = 105.38°, β = 105.38°, γ = 90.00°
Element x y z (fractional)
Au (0.401, 0.401, 0.801)
Au (0.750, 0.250, 0.500)
Au (0.250, 0.750, 0.500)
Au (0.599, 0.599, 0.199)
Tl (0.000, 0.000, 0.000)

E above lowest polymorph	0	meV/atom
energy of formation from the pure elements	0.01	eV/atom
space group	I4/mmm
VASP energy	-69.784	eV per atom

First-principles (meta-GGA SCAN) data for a crystal of Tl2Au relaxed with PBEsol, as listed in Alexandria via LeMat-Bulk.

a = 3.331 Å, b = 3.331 Å, c = 13.719 Å
α = 96.97°, β = 96.97°, γ = 90.00°
Element x y z (fractional)
Tl (0.429, 0.429, 0.858)
Tl (0.821, 0.321, 0.642)
Tl (0.679, 0.179, 0.358)
Tl (0.571, 0.571, 0.142)
Au (0.250, 0.750, 0.500)
Au (0.000, 0.000, 0.000)

energy of formation from the pure elements	-0.02	eV/atom
space group	I4_1/amd
VASP energy	-71.306	eV per atom

First-principles (meta-GGA SCAN) data for a crystal of Tl2Au relaxed with PBEsol, as listed in Alexandria via LeMat-Bulk.

a = 3.407 Å, b = 3.407 Å, c = 6.726 Å
α = 104.67°, β = 104.67°, γ = 90.00°
Element x y z (fractional)
Tl (0.353, 0.353, 0.705)
Tl (0.647, 0.647, 0.295)
Au (0.000, 0.000, 0.000)

energy of formation from the pure elements	-0.03	eV/atom
space group	I4/mmm
VASP energy	-71.318	eV per atom

First-principles (meta-GGA SCAN) data for a crystal of TlAu5 relaxed with PBEsol, as listed in Alexandria via LeMat-Bulk.

a = 3.413 Å, b = 3.413 Å, c = 9.470 Å
α = 90.00°, β = 90.00°, γ = 90.00°
Element x y z (fractional)
Au (0.500, 0.500, 0.655)
Au (0.000, 0.000, 0.500)
Au (0.000, 0.000, 0.808)
Au (0.000, 0.000, 0.192)
Au (0.500, 0.500, 0.345)
Tl (0.500, 0.500, 0.000)

E above lowest polymorph	12	meV/atom
energy of formation from the pure elements	0.07	eV/atom
space group	P4/mmm
VASP energy	-69.621	eV per atom

First-principles (meta-GGA SCAN) data for a crystal of Tl2Au relaxed with PBEsol, as listed in Alexandria via LeMat-Bulk.

a = 4.566 Å, b = 7.149 Å, c = 9.002 Å
α = 90.00°, β = 90.00°, γ = 90.00°
Element x y z (fractional)
Tl (0.250, 0.029, 0.183)
Tl (0.750, 0.850, 0.429)
Tl (0.250, 0.150, 0.571)
Tl (0.250, 0.529, 0.317)
Tl (0.250, 0.650, 0.929)
Tl (0.750, 0.971, 0.817)
Tl (0.750, 0.471, 0.683)
Tl (0.750, 0.350, 0.071)
Au (0.250, 0.731, 0.610)
Au (0.750, 0.269, 0.390)
Au (0.750, 0.769, 0.110)
Au (0.250, 0.231, 0.890)

energy of formation from the pure elements	-0.03	eV/atom
space group	Pnma
VASP energy	-71.322	eV per atom

First-principles (meta-GGA SCAN) data for a crystal of Tl4Au relaxed with PBEsol, as listed in Alexandria via LeMat-Bulk.

a = 3.517 Å, b = 6.329 Å, c = 6.329 Å
α = 85.57°, β = 73.87°, γ = 73.87°
Element x y z (fractional)
Tl (0.226, 0.351, 0.197)
Tl (0.423, 0.803, 0.351)
Tl (0.577, 0.197, 0.649)
Tl (0.774, 0.649, 0.803)
Au (0.000, 0.000, 0.000)

energy of formation from the pure elements	-0.01	eV/atom
space group	I4/m
VASP energy	-71.729	eV per atom

First-principles (meta-GGA SCAN) data for a crystal of Tl5Au relaxed with PBEsol, as listed in Alexandria via LeMat-Bulk.

a = 3.542 Å, b = 6.228 Å, c = 8.002 Å
α = 109.72°, β = 90.00°, γ = 106.52°
Element x y z (fractional)
Tl (0.305, 0.610, 0.642)
Tl (0.616, 0.231, 0.798)
Tl (0.640, 0.280, 0.248)
Tl (0.328, 0.657, 0.090)
Tl (0.972, 0.944, 0.444)
Au (0.973, 0.946, 0.945)

E above lowest polymorph	0	meV/atom
energy of formation from the pure elements	0.00	eV/atom
space group	Cm
VASP energy	-71.821	eV per atom

First-principles (meta-GGA SCAN) data for a crystal of TlAu5 relaxed with PBEsol, as listed in Alexandria via LeMat-Bulk.

a = 4.175 Å, b = 4.143 Å, c = 6.574 Å
α = 71.64°, β = 90.00°, γ = 90.00°
Element x y z (fractional)
Au (0.500, 0.000, 0.000)
Au (0.000, 0.832, 0.336)
Au (0.000, 0.168, 0.664)
Au (0.500, 0.672, 0.656)
Au (0.500, 0.328, 0.344)
Tl (0.000, 0.500, 0.000)

E above lowest polymorph	25	meV/atom
energy of formation from the pure elements	0.08	eV/atom
space group	Cmmm
VASP energy	-69.608	eV per atom

First-principles (meta-GGA SCAN) data for a crystal of TlAu5 relaxed with PBEsol, as listed in Alexandria via LeMat-Bulk.

a = 4.774 Å, b = 5.112 Å, c = 5.112 Å
α = 120.00°, β = 90.00°, γ = 90.00°
Element x y z (fractional)
Au (0.000, 0.652, 0.000)
Au (0.000, 0.000, 0.652)
Au (0.000, 0.348, 0.348)
Au (0.500, 0.667, 0.333)
Au (0.500, 0.333, 0.667)
Tl (0.500, 0.000, 0.000)

E above lowest polymorph	13	meV/atom
energy of formation from the pure elements	0.07	eV/atom
space group	P-62m
VASP energy	-69.620	eV per atom

First-principles (meta-GGA SCAN) data for a crystal of Tl2Au relaxed with PBEsol, as listed in Alexandria via LeMat-Bulk.

a = 4.250 Å, b = 4.250 Å, c = 5.113 Å
α = 90.00°, β = 90.00°, γ = 120.00°
Element x y z (fractional)
Tl (0.667, 0.333, 0.707)
Tl (0.333, 0.667, 0.293)
Au (0.000, 0.000, 0.000)

energy of formation from the pure elements	-0.04	eV/atom
space group	P-3m1
VASP energy	-71.332	eV per atom

First-principles (meta-GGA SCAN) data for a crystal of TlWAu2 relaxed with PBEsol, as listed in Alexandria via LeMat-Bulk.

a = 2.886 Å, b = 2.886 Å, c = 8.633 Å
α = 90.00°, β = 90.00°, γ = 90.00°
Element x y z (fractional)
W (0.500, 0.500, 0.772)
Au (0.000, 0.000, 0.989)
Au (0.500, 0.500, 0.231)
Tl (0.000, 0.000, 0.508)

energy of formation from the pure elements	0.53	eV/atom
space group	P4mm
VASP energy	-69.556	eV per atom

First-principles (meta-GGA SCAN) data for a crystal of YTl2Au2 relaxed with PBEsol, as listed in Alexandria via LeMat-Bulk.

a = 4.206 Å, b = 4.206 Å, c = 7.253 Å
α = 106.85°, β = 106.85°, γ = 90.00°
Element x y z (fractional)
Tl (0.250, 0.750, 0.500)
Tl (0.750, 0.250, 0.500)
Au (0.598, 0.598, 0.197)
Au (0.402, 0.402, 0.803)
Y (0.000, 0.000, 0.000)

energy of formation from the pure elements	-0.38	eV/atom
space group	I4/mmm
VASP energy	-62.550	eV per atom

First-principles (meta-GGA SCAN) data for a crystal of Y2TlAu relaxed with PBEsol, as listed in Alexandria via LeMat-Bulk.

a = 4.323 Å, b = 4.323 Å, c = 5.953 Å
α = 111.29°, β = 111.29°, γ = 90.00°
Element x y z (fractional)
Y (0.750, 0.250, 0.500)
Y (0.000, 0.000, 0.000)
Au (0.500, 0.500, 0.000)
Tl (0.250, 0.750, 0.500)

energy of formation from the pure elements	-0.64	eV/atom
space group	I-4m2
VASP energy	-49.935	eV per atom

First-principles (meta-GGA SCAN) data for a crystal of Y2TlAu relaxed with PBEsol, as listed in Alexandria via LeMat-Bulk.

a = 3.659 Å, b = 5.138 Å, c = 5.138 Å
α = 90.00°, β = 90.00°, γ = 90.00°
Element x y z (fractional)
Y (0.000, 0.500, 0.000)
Y (0.000, 0.000, 0.500)
Tl (0.500, 0.000, 0.000)
Au (0.500, 0.500, 0.500)

energy of formation from the pure elements	-0.84	eV/atom
space group	P4/mmm
VASP energy	-50.140	eV per atom

First-principles (meta-GGA SCAN) data for a crystal of TlZn4Au relaxed with PBEsol, as listed in Alexandria via LeMat-Bulk.

a = 5.194 Å, b = 5.194 Å, c = 5.194 Å
α = 60.00°, β = 60.00°, γ = 60.00°
Element x y z (fractional)
Zn (0.376, 0.872, 0.376)
Zn (0.872, 0.376, 0.376)
Zn (0.376, 0.376, 0.872)
Zn (0.376, 0.376, 0.376)
Tl (0.000, 0.000, 0.000)
Au (0.750, 0.750, 0.750)

energy of formation from the pure elements	0.09	eV/atom
space group	F-43m
VASP energy	-32.502	eV per atom

First-principles (meta-GGA SCAN) data for a crystal of TlZnAu2 relaxed with PBEsol, as listed in Alexandria via LeMat-Bulk.

a = 3.137 Å, b = 3.137 Å, c = 7.561 Å
α = 90.00°, β = 90.00°, γ = 90.00°
Element x y z (fractional)
Au (0.000, 0.000, 0.700)
Au (0.000, 0.000, 0.300)
Tl (0.500, 0.500, 0.000)
Zn (0.500, 0.500, 0.500)

E above lowest polymorph	0	meV/atom
energy of formation from the pure elements	-0.07	eV/atom
space group	P4/mmm
VASP energy	-56.116	eV per atom

First-principles (meta-GGA SCAN) data for a crystal of TlZnAu2 relaxed with PBEsol, as listed in Alexandria via LeMat-Bulk.

a = 4.695 Å, b = 4.695 Å, c = 4.695 Å
α = 60.00°, β = 60.00°, γ = 60.00°
Element x y z (fractional)
Au (0.750, 0.750, 0.750)
Au (0.250, 0.250, 0.250)
Tl (0.000, 0.000, 0.000)
Zn (0.500, 0.500, 0.500)

E above lowest polymorph	161	meV/atom
energy of formation from the pure elements	0.09	eV/atom
space group	Fm-3m
VASP energy	-55.956	eV per atom

First-principles (meta-GGA SCAN) data for a crystal of TlZn2Au relaxed with PBEsol, as listed in Alexandria via LeMat-Bulk.

a = 3.664 Å, b = 4.550 Å, c = 5.251 Å
α = 103.64°, β = 90.00°, γ = 113.75°
Element x y z (fractional)
Zn (0.270, 0.540, 0.324)
Zn (0.730, 0.460, 0.676)
Tl (0.500, 0.000, 0.000)
Au (0.000, 0.000, 0.500)

energy of formation from the pure elements	0.00	eV/atom
space group	C2/m
VASP energy	-42.139	eV per atom

First-principles (meta-GGA SCAN) data for a crystal of TlZnAu4 relaxed with PBEsol, as listed in Alexandria via LeMat-Bulk.

a = 5.476 Å, b = 5.476 Å, c = 5.476 Å
α = 60.00°, β = 60.00°, γ = 60.00°
Element x y z (fractional)
Au (0.876, 0.375, 0.375)
Au (0.375, 0.876, 0.375)
Au (0.375, 0.375, 0.876)
Au (0.375, 0.375, 0.375)
Tl (0.750, 0.750, 0.750)
Zn (0.000, 0.000, 0.000)

energy of formation from the pure elements	0.08	eV/atom
space group	F-43m
VASP energy	-60.335	eV per atom

First-principles (meta-GGA SCAN) data for a crystal of ZrTl2Au relaxed with PBEsol, as listed in Alexandria via LeMat-Bulk.

a = 3.230 Å, b = 4.614 Å, c = 5.844 Å
α = 90.00°, β = 95.88°, γ = 90.00°
Element x y z (fractional)
Tl (0.167, 0.000, 0.252)
Tl (0.833, 0.000, 0.748)
Au (0.000, 0.500, 0.500)
Zr (0.500, 0.500, 0.000)

E above lowest polymorph	0	meV/atom
energy of formation from the pure elements	-0.08	eV/atom
space group	P2/m
VASP energy	-61.224	eV per atom

First-principles (meta-GGA SCAN) data for a crystal of ZrTlAu relaxed with PBEsol, as listed in Alexandria via LeMat-Bulk.

a = 3.348 Å, b = 3.348 Å, c = 6.711 Å
α = 90.00°, β = 90.00°, γ = 120.00°
Element x y z (fractional)
Zr (0.667, 0.333, 0.314)
Tl (0.333, 0.667, 0.675)
Au (0.000, 0.000, 0.012)

energy of formation from the pure elements	-0.19	eV/atom
space group	P3m1
VASP energy	-57.591	eV per atom

First-principles (meta-GGA SCAN) data for a crystal of ZrTl2Au relaxed with PBEsol, as listed in Alexandria via LeMat-Bulk.

a = 4.976 Å, b = 4.976 Å, c = 4.976 Å
α = 60.00°, β = 60.00°, γ = 60.00°
Element x y z (fractional)
Au (0.500, 0.500, 0.500)
Zr (0.250, 0.250, 0.250)
Tl (0.000, 0.000, 0.000)
Tl (0.750, 0.750, 0.750)

E above lowest polymorph	123	meV/atom
energy of formation from the pure elements	0.04	eV/atom
space group	F-43m
VASP energy	-61.102	eV per atom

First-principles (meta-GGA SCAN) data for a crystal of ZrTl2Au relaxed with PBEsol, as listed in Alexandria via LeMat-Bulk.

a = 4.246 Å, b = 4.246 Å, c = 5.693 Å
α = 111.89°, β = 111.89°, γ = 90.00°
Element x y z (fractional)
Zr (0.500, 0.500, 0.000)
Tl (0.750, 0.250, 0.500)
Tl (0.250, 0.750, 0.500)
Au (0.000, 0.000, 0.000)

E above lowest polymorph	83	meV/atom
energy of formation from the pure elements	0.00	eV/atom
space group	I4/mmm
VASP energy	-61.142	eV per atom

First-principles (meta-GGA SCAN) data for a crystal of ZrTlAu relaxed with PBEsol, as listed in Alexandria via LeMat-Bulk.

a = 3.253 Å, b = 3.253 Å, c = 6.253 Å
α = 105.08°, β = 105.08°, γ = 90.00°
Element x y z (fractional)
Tl (0.338, 0.338, 0.675)
Zr (0.655, 0.655, 0.310)
Au (0.007, 0.007, 0.014)

energy of formation from the pure elements	-0.34	eV/atom
space group	I4mm
VASP energy	-57.749	eV per atom

First-principles (meta-GGA SCAN) data for a crystal of ZrTl2Au relaxed with PBEsol, as listed in Alexandria via LeMat-Bulk.

a = 3.194 Å, b = 5.408 Å, c = 5.933 Å
α = 117.11°, β = 105.61°, γ = 90.00°
Element x y z (fractional)
Au (0.000, 0.500, 0.000)
Tl (0.738, 0.738, 0.476)
Tl (0.262, 0.262, 0.524)
Zr (0.500, 0.000, 0.000)

E above lowest polymorph	35	meV/atom
energy of formation from the pure elements	-0.05	eV/atom
space group	Immm
VASP energy	-61.189	eV per atom

Number 1: magnetic moment 0.00 μB per formula unit. Number 2: magnetic moment 0.00 μB per formula unit. Number 3: magnetic moment 0.00 μB per formula unit. Number 4: magnetic moment 0.00 μB per formula unit. Number 5: magnetic moment 0.00 μB per formula unit. Number 6: magnetic moment 0.00 μB per formula unit. Number 7: magnetic moment 0.00 μB per formula unit. Number 8: magnetic moment 0.00 μB per formula unit. Number 9: magnetic moment 0.00 μB per formula unit. Number 10: magnetic moment 0.00 μB per formula unit. Number 11: magnetic moment 0.00 μB per formula unit. Number 12: magnetic moment 0.00 μB per formula unit. Number 13: magnetic moment 0.00 μB per formula unit. Number 14: magnetic moment 0.00 μB per formula unit. Number 15: magnetic moment 0.00 μB per formula unit. Number 16: magnetic moment 0.00 μB per formula unit. Number 17: magnetic moment 0.00 μB per formula unit. Number 18: magnetic moment 0.00 μB per formula unit. Number 19: magnetic moment 0.00 μB per formula unit. Number 20: magnetic moment 0.00 μB per formula unit. Number 21: magnetic moment 0.00 μB per formula unit. Number 22: magnetic moment 0.00 μB per formula unit. Number 23: magnetic moment 0.00 μB per formula unit. Number 24: magnetic moment 0.00 μB per formula unit. Number 25: magnetic moment 0.00 μB per formula unit. Number 26: magnetic moment 0.84 μB per formula unit. Number 27: magnetic moment 0.00 μB per formula unit. Number 28: magnetic moment 0.00 μB per formula unit.